## w
Material: SbTe3Pd
Method: DFT, GGA-PBE
State: optimized geometry

Lattice parameters (Å, degrees): 5.270 5.270 5.270 90.00 90.00 90.00
Element x y z (fractional)
Sb1 0.000 0.000 0.000
Te1 0.000 0.500 0.500
Te2 0.500 0.000 0.500
Te3 0.500 0.500 0.000
Pd1 0.500 0.500 0.500

- total moment (μB per formula unit) = 0.0
- crystal system = cubic


## x
Material: SbTe3Pd
Method: DFT, GGA-PBE
State: optimized geometry

Lattice parameters (Å, degrees): 4.089 6.457 11.737 78.92 89.76 71.82
Element x y z (fractional)
Sb1 0.023 0.451 0.137
Sb2 0.977 0.549 0.863
Te1 0.162 0.185 0.403
Te2 0.311 0.883 0.875
Te3 0.428 0.637 0.330
Te4 0.572 0.363 0.670
Te5 0.689 0.117 0.125
Te6 0.838 0.815 0.597
Pd1 0.210 0.081 0.642
Pd2 0.790 0.919 0.358

- total moment (μB per formula unit) = 0.0
- crystal system = triclinic


Last place for stability: w